No. 1
PaBe3Si3 after structural relaxation, computed with PBE.

Its crystal system is cubic. The value obtained for the volume is 108 Å³/f.u. Its density is 5.26 g cm⁻³. For the total magnetic moment, the calculation gives 0.00 μB per formula unit. For the density of states at the Fermi level, the calculation gives 7.18 states/eV per cell. For the raw formation energy, the calculation gives 1.668 eV/f.u.

The space group is Pm-3n (No. 223) and the conventional cell measures 6.000, 6.000 and 6.000 Å, with angles of 90.00, 90.00 and 90.00 degrees. Symmetry generates all atoms from Pa at (0.000, 0.000, 0.000), Be at (0.000, 0.250, 0.500) and Si at (0.000, 0.500, 0.250).



No. 2
K2PrPuO4 after structural relaxation, computed with PBE.

Its crystal system is monoclinic. The value obtained for the volume is 144 Å³/f.u. Its density is 6.09 g cm⁻³. For the total magnetic moment, the calculation gives 5.00 μB per formula unit. For the density of states at the Fermi level, the calculation gives 5.34 states/eV per cell. For the raw formation energy, the calculation gives -19.716 eV/f.u.

The space group is P2/m (No. 10) and the conventional cell measures 6.284, 3.631 and 6.640 Å, with angles of 90.00, 108.45 and 90.00 degrees. Symmetry generates all atoms from K at (0.000, 0.000, 0.000), K at (0.500, 0.500, 0.000), Pr at (0.000, 0.500, 0.500), Pu at (0.500, 0.000, 0.500), O at (0.237, 0.000, 0.692) and O at (0.279, 0.500, 0.312).



No. 3
Ba2ZnSe after structural relaxation, computed with PBE.

As for the relative energy among the computed polymorphs: 34.1 meV per atom. Its crystal system is orthorhombic. The value obtained for the volume is 156 Å³/f.u. Its density is 4.46 g cm⁻³. For the total magnetic moment, the calculation gives 0.00 μB per formula unit. For the density of states at the Fermi level, the calculation gives 8.50 states/eV per cell. For the raw formation energy, the calculation gives -3.663 eV/f.u.

The space group is Amm2 (No. 38) and the conventional cell measures 6.773, 6.785 and 6.786 Å, with angles of 90.00, 90.00 and 90.00 degrees. Symmetry generates all atoms from Ba at (0.000, 0.000, 0.000), Ba at (0.500, 0.000, 0.499), Zn at (0.500, 0.000, 0.999) and Se at (0.000, 0.000, 0.500).



No. 4
CsTmBeS3 after structural relaxation, computed with PBE.

Its crystal system is monoclinic. The value obtained for the volume is 160 Å³/f.u. Its density is 4.21 g cm⁻³. For the total magnetic moment, the calculation gives 0.00 μB per formula unit. For the density of states at the Fermi level, the calculation gives 0.00 states/eV per cell. For the raw formation energy, the calculation gives -9.408 eV/f.u.

The space group is P2_1/m (No. 11) and the conventional cell measures 9.497, 3.864 and 9.523 Å, with angles of 90.00, 113.37 and 90.00 degrees. Symmetry generates all atoms from Cs at (0.244, 0.250, 0.215), Tm at (0.145, 0.250, 0.668), Be at (0.394, 0.750, 0.924), S at (0.160, 0.750, 0.478), S at (0.161, 0.750, 0.872) and S at (0.461, 0.250, 0.840).



No. 5
MnRhBr2 after structural relaxation, computed with PBE.

As for the relative energy among the computed polymorphs: 103.7 meV per atom. Its crystal system is tetragonal. The value obtained for the volume is 91 Å³/f.u. Its density is 5.81 g cm⁻³. For the total magnetic moment, the calculation gives 3.96 μB per formula unit. For the density of states at the Fermi level, the calculation gives 2.63 states/eV per cell. For the raw formation energy, the calculation gives -0.156 eV/f.u.

The space group is P4mm (No. 99) and the conventional cell measures 3.509, 3.509 and 7.372 Å, with angles of 90.00, 90.00 and 90.00 degrees. Symmetry generates all atoms from Mn at (0.000, 0.000, 0.000), Rh at (0.500, 0.500, 0.125), Br at (0.000, 0.000, 0.341) and Br at (0.500, 0.500, 0.789).



No. 6
Ca2ScTa after structural relaxation, computed with PBE.

As for the relative energy among the computed polymorphs: 246.7 meV per atom. Its crystal system is monoclinic. The value obtained for the volume is 105 Å³/f.u. The formation energy comes out at 607 meV/atom. Its density is 4.82 g cm⁻³. For the total magnetic moment, the calculation gives 0.00 μB per formula unit. For the density of states at the Fermi level, the calculation gives 10.61 states/eV per cell.

The space group is C2/m (No. 12) and the conventional cell measures 11.508, 3.194 and 5.792 Å, with angles of 90.00, 98.11 and 90.00 degrees. Symmetry generates all atoms from Ca at (0.241, 0.000, 0.237), Sc at (0.000, 0.000, 0.500) and Ta at (0.000, 0.500, 0.000).



No. 7
Ba2PtCl after structural relaxation, computed with PBE.

As for the relative energy among the computed polymorphs: 114.6 meV per atom. Its crystal system is monoclinic. The value obtained for the volume is 125 Å³/f.u. Its density is 6.74 g cm⁻³. For the total magnetic moment, the calculation gives 0.00 μB per formula unit. For the density of states at the Fermi level, the calculation gives 2.27 states/eV per cell. For the raw formation energy, the calculation gives -5.030 eV/f.u.

The space group is P2/m (No. 10) and the conventional cell measures 3.894, 3.853 and 8.301 Å, with angles of 90.00, 90.61 and 90.00 degrees. Symmetry generates all atoms from Ba at (0.005, 0.000, 0.224), Pt at (0.500, 0.500, 0.000) and Cl at (0.500, 0.500, 0.500).



No. 8
HgBrNF2 after structural relaxation, computed with PBE.

As for the relative energy among the computed polymorphs: 10.0 meV per atom. Its crystal system is tetragonal. The value obtained for the volume is 89 Å³/f.u. Its density is 6.21 g cm⁻³. For the total magnetic moment, the calculation gives 1.51 μB per formula unit. For the density of states at the Fermi level, the calculation gives 6.97 states/eV per cell. For the raw formation energy, the calculation gives 2.259 eV/f.u.

The space group is P4/mmm (No. 123) and the conventional cell measures 4.438, 4.438 and 4.517 Å, with angles of 90.00, 90.00 and 90.00 degrees. Symmetry generates all atoms from Hg at (0.000, 0.000, 0.000), Br at (0.500, 0.500, 0.500), N at (0.000, 0.000, 0.500) and F at (0.000, 0.500, 0.000).



No. 9
ZnCSeS2 after structural relaxation, computed with PBE.

Its crystal system is tetragonal. The value obtained for the volume is 105 Å³/f.u. Its density is 3.49 g cm⁻³. For the total magnetic moment, the calculation gives 0.02 μB per formula unit. For the density of states at the Fermi level, the calculation gives 5.43 states/eV per cell. For the raw formation energy, the calculation gives 9.379 eV/f.u.

The space group is P4/mmm (No. 123) and the conventional cell measures 4.564, 4.564 and 5.042 Å, with angles of 90.00, 90.00 and 90.00 degrees. Symmetry generates all atoms from Zn at (0.000, 0.000, 0.000), C at (0.500, 0.500, 0.500), Se at (0.000, 0.000, 0.500) and S at (0.000, 0.500, 0.000).



No. 10
LiTiSn2 after structural relaxation, computed with PBE.

As for the relative energy among the computed polymorphs: 16.5 meV per atom. Its crystal system is tetragonal. The value obtained for the volume is 80 Å³/f.u. The formation energy comes out at -214 meV/atom. Its density is 6.10 g cm⁻³. For the total magnetic moment, the calculation gives 1.17 μB per formula unit. For the density of states at the Fermi level, the calculation gives 2.92 states/eV per cell.

The space group is P4/mmm (No. 123) and the conventional cell measures 3.526, 3.526 and 6.402 Å, with angles of 90.00, 90.00 and 90.00 degrees. Symmetry generates all atoms from Li at (0.000, 0.000, 0.000), Ti at (0.000, 0.000, 0.500) and Sn at (0.500, 0.500, 0.248).



No. 11
ScMn after structural relaxation, computed with PBE.

Its crystal system is tetragonal. The value obtained for the volume is 33 Å³/f.u. The formation energy comes out at 28 meV/atom. Its density is 5.00 g cm⁻³. For the total magnetic moment, the calculation gives 0.00 μB per formula unit. For the density of states at the Fermi level, the calculation gives 3.56 states/eV per cell.

The space group is P4/nmm (No. 129, origin choice 2) and the conventional cell measures 2.882, 2.882 and 7.984 Å, with angles of 90.00, 90.00 and 90.00 degrees. Symmetry generates all atoms from Sc at (0.250, 0.250, 0.187) and Mn at (0.250, 0.250, 0.574).



No. 12
GaFeRhCl2 after structural relaxation, computed with PBE.

As for the relative energy among the computed polymorphs: 22.5 meV per atom. Its crystal system is tetragonal. The value obtained for the volume is 105 Å³/f.u. Its density is 4.73 g cm⁻³. For the total magnetic moment, the calculation gives 3.47 μB per formula unit. For the density of states at the Fermi level, the calculation gives 8.17 states/eV per cell. For the raw formation energy, the calculation gives 2.397 eV/f.u.

The space group is P4/mmm (No. 123) and the conventional cell measures 4.373, 4.373 and 5.496 Å, with angles of 90.00, 90.00 and 90.00 degrees. Symmetry generates all atoms from Ga at (0.000, 0.000, 0.000), Fe at (0.000, 0.000, 0.500), Rh at (0.500, 0.500, 0.000) and Cl at (0.000, 0.500, 0.500).



No. 13
SrTbCuRh after structural relaxation, computed with PBE.

Its crystal system is cubic. The value obtained for the volume is 90 Å³/f.u. The formation energy comes out at -252 meV/atom. Its density is 7.62 g cm⁻³. For the total magnetic moment, the calculation gives 0.00 μB per formula unit. For the density of states at the Fermi level, the calculation gives 6.57 states/eV per cell.

The space group is F-43m (No. 216) and the conventional cell measures 7.113, 7.113 and 7.113 Å, with angles of 90.00, 90.00 and 90.00 degrees. Symmetry generates all atoms from Sr at (0.000, 0.000, 0.000), Tb at (0.000, 0.000, 0.500), Cu at (0.250, 0.250, 0.250) and Rh at (0.250, 0.250, 0.750).



No. 14
CsPdCl3 after structural relaxation, computed with PBE.

Its crystal system is monoclinic. The value obtained for the volume is 176 Å³/f.u. Its density is 3.26 g cm⁻³. For the total magnetic moment, the calculation gives 0.00 μB per formula unit. For the raw formation energy, the calculation gives -5.498 eV/f.u.

The space group is P2_1/c (No. 14) and the conventional cell measures 9.213, 7.295 and 12.723 Å, with angles of 90.00, 124.48 and 90.00 degrees. Symmetry generates all atoms from Cs at (0.135, 0.200, 0.158), Pd at (0.397, 0.653, 0.372), Cl at (0.110, 0.699, 0.200), Cl at (0.314, 0.087, 0.953) and Cl at (0.494, 0.608, 0.810).



No. 15
HAuO2 after structural relaxation, computed with PBE.

As for the relative energy among the computed polymorphs: 233.0 meV per atom. Its crystal system is trigonal. The value obtained for the volume is 44 Å³/f.u. Its density is 8.69 g cm⁻³. For the total magnetic moment, the calculation gives 0.00 μB per formula unit. For the density of states at the Fermi level, the calculation gives 6.05 states/eV per cell.

The space group is R-3m (No. 166, hexagonal axes) and the conventional cell measures 3.4934, 3.4934 and 12.4767 Å, with angles of 90.00, 90.00 and 120.00 degrees. Symmetry generates all atoms from H at (0.0000, 0.0000, 0.0000), Au at (0.0000, 0.0000, 0.5000) and O at (0.0000, 0.0000, 0.0971).



No. 16
KIn3Co after structural relaxation, computed with PBE.

As for the relative energy among the computed polymorphs: 1580.8 meV per atom. Its crystal system is cubic. The value obtained for the volume is 215 Å³/f.u. The formation energy comes out at 1521 meV/atom. Its density is 3.42 g cm⁻³. For the total magnetic moment, the calculation gives 2.36 μB per formula unit. For the density of states at the Fermi level, the calculation gives 7.11 states/eV per cell.

The space group is Pm-3m (No. 221) and the conventional cell measures 5.992, 5.992 and 5.992 Å, with angles of 90.00, 90.00 and 90.00 degrees. Symmetry generates all atoms from K at (0.000, 0.000, 0.000), In at (0.000, 0.000, 0.500) and Co at (0.500, 0.500, 0.500).



No. 17
Zr12In3Pb after structural relaxation, computed with PBE.

Its crystal system is tetragonal. The value obtained for the volume is 362 Å³/f.u. The formation energy comes out at -223 meV/atom. Its density is 7.55 g cm⁻³. For the total magnetic moment, the calculation gives 0.00 μB per formula unit. For the density of states at the Fermi level, the calculation gives 14.65 states/eV per cell.

The space group is P4/mmm (No. 123) and the conventional cell measures 4.490, 4.490 and 17.965 Å, with angles of 90.00, 90.00 and 90.00 degrees. Symmetry generates all atoms from Zr at (0.000, 0.000, 0.000), Zr at (0.000, 0.000, 0.249), Zr at (0.000, 0.000, 0.500), Zr at (0.000, 0.500, 0.124), Zr at (0.000, 0.500, 0.373), In at (0.500, 0.500, 0.000), In at (0.500, 0.500, 0.249) and Pb at (0.500, 0.500, 0.500).



No. 18
NbSeF after structural relaxation, computed with PBE.

Its crystal system is orthorhombic. The value obtained for the volume is 67 Å³/f.u. Its density is 4.72 g cm⁻³. For the total magnetic moment, the calculation gives 0.00 μB per formula unit. For the raw formation energy, the calculation gives -4.715 eV/f.u.

The space group is Pnma (No. 62) and the conventional cell measures 12.633, 3.212 and 6.616 Å, with angles of 90.00, 90.00 and 90.00 degrees. Symmetry generates all atoms from Nb at (0.091, 0.250, 0.035), Se at (0.073, 0.750, 0.732) and F at (0.174, 0.750, 0.191).



No. 19
Rb2NiAgN after structural relaxation, computed with PBE.

Its crystal system is tetragonal. The value obtained for the volume is 138 Å³/f.u. Its density is 4.23 g cm⁻³. For the total magnetic moment, the calculation gives 0.00 μB per formula unit. For the density of states at the Fermi level, the calculation gives 2.77 states/eV per cell. For the raw formation energy, the calculation gives 0.438 eV/f.u.

The space group is P4/mmm (No. 123) and the conventional cell measures 6.326, 6.326 and 3.450 Å, with angles of 90.00, 90.00 and 90.00 degrees. Symmetry generates all atoms from Rb at (0.000, 0.500, 0.000), Ni at (0.000, 0.000, 0.500), Ag at (0.500, 0.500, 0.500) and N at (0.000, 0.000, 0.000).



No. 20
CaZn2Cu4 after structural relaxation, computed with PBE.

As for the relative energy among the computed polymorphs: 0.0 meV per atom. Its crystal system is orthorhombic. The value obtained for the volume is 107 Å³/f.u. The formation energy comes out at -135 meV/atom. Its density is 6.63 g cm⁻³. For the total magnetic moment, the calculation gives 0.00 μB per formula unit. For the density of states at the Fermi level, the calculation gives 4.91 states/eV per cell.

The space group is Immm (No. 71) and the conventional cell measures 5.048, 6.447 and 6.547 Å, with angles of 90.00, 90.00 and 90.00 degrees. Symmetry generates all atoms from Ca at (0.000, 0.000, 0.000), Zn at (0.249, 0.500, 0.000) and Cu at (0.000, 0.309, 0.310).